(1)
VASP calculation (PBE) on TeOs2Pt after structural relaxation.

## Properties
The calculation puts the raw total energy at -7.14 eV per atom. Its crystal system is orthorhombic. The value obtained for the uncorrected formation energy is 0.77 eV/atom.

Cell: 5.5796 5.5796 5.5796 Å, 148.66 131.51 58.88°
With the nearest neighbours (Å) after each atom.
Fractional positions:
Pt: 0.7500 0.2500 0.5000  4 Te 2.74, 2 Pt 3.01
Os: 0.4742 0.4742 0.0000  2 Te 2.65, 4 Os 2.79
Te: 0.2500 0.7500 0.5000  4 Os 2.65, 4 Pt 2.74
Os: 0.0258 0.0258 0.0000  2 Te 2.65, 4 Os 2.79



(2)
VASP calculation (PBE) on PrZrBe17 after structural relaxation.

## Properties
The calculation puts the raw total energy at -4.17 eV per atom. Its crystal system is trigonal. The formation energy is -13 kJ/mol of atoms.

Cell: 5.8156 5.8156 5.8156 Å, 82.89 82.89 82.89°
With the nearest neighbours (Å) after each atom.
Fractional positions:
Be: 0.2776 0.7191 0.0024  6 Be 2.12-2.27
Be: 0.7191 0.2776 0.0024  6 Be 2.12-2.27
Be: 0.6593 0.6593 0.1594  9 Be 2.25-2.47
Be: 0.9082 0.9082 0.9082  7 Be 2.13-2.38
Be: 0.3350 0.3350 0.8436  7 Be 2.18-2.34
Be: 0.3350 0.8436 0.3350  7 Be 2.18-2.34
Be: 0.0055 0.0055 0.4966  10 Be 2.16-2.40
Be: 0.4966 0.0055 0.0055  10 Be 2.16-2.40
Be: 0.1594 0.6593 0.6593  9 Be 2.25-2.47
Be: 0.0024 0.2776 0.7191  6 Be 2.12-2.27
Zr: 0.3357 0.3357 0.3357  19 Be 2.68-2.95
Be: 0.8436 0.3350 0.3350  7 Be 2.18-2.34
Be: 0.0024 0.7191 0.2776  6 Be 2.12-2.27
Be: 0.6593 0.1594 0.6593  9 Be 2.25-2.47
Be: 0.0055 0.4966 0.0055  10 Be 2.16-2.40
Pr: 0.6610 0.6610 0.6610  19 Be 2.78-3.00
Be: 0.2776 0.0024 0.7191  6 Be 2.12-2.27
Be: 0.0977 0.0977 0.0977  7 Be 2.13-2.34
Be: 0.7191 0.0024 0.2776  6 Be 2.12-2.27



(3)
VASP calculation (PBE) on TlCd2Sn3 after structural relaxation.

## Properties
As for the distance to the lowest polymorph of the same formula: 0.0 kJ/mol of atoms. The calculation puts the raw total energy at -2.64 eV per atom. Its crystal system is monoclinic. The formation energy is 6 kJ/mol of atoms.

Cell: 6.7260 6.7260 8.3863 Å, 84.85 84.85 114.24°
With the nearest neighbours (Å) after each atom.
Fractional positions:
Cd: 0.6176 0.8264 0.4776  5 Sn 2.96-3.21, 2 Tl 3.28-3.31
Sn: 0.7418 0.2582 0.2500  4 Cd 3.00-3.08, 2 Sn 3.11
Sn: 0.5387 0.8179 0.1065  3 Cd 2.96-3.21, 3 Sn 3.11-3.24
Tl: 0.9216 0.0784 0.7500  4 Cd 3.28-3.31, 4 Sn 3.55-3.57
Sn: 0.1821 0.4613 0.3935  3 Cd 2.96-3.21, 3 Sn 3.11-3.24
Sn: 0.2582 0.7418 0.7500  4 Cd 3.00-3.08, 2 Sn 3.11
Sn: 0.4613 0.1821 0.8935  3 Cd 2.96-3.21, 3 Sn 3.11-3.24
Tl: 0.0784 0.9216 0.2500  4 Cd 3.28-3.31, 4 Sn 3.55-3.57
Cd: 0.8264 0.6176 0.9776  5 Sn 2.96-3.21, 2 Tl 3.28-3.31
Sn: 0.8179 0.5387 0.6065  3 Cd 2.96-3.21, 3 Sn 3.11-3.24
Cd: 0.3824 0.1736 0.5224  5 Sn 2.96-3.21, 2 Tl 3.28-3.31
Cd: 0.1736 0.3824 0.0224  5 Sn 2.96-3.21, 2 Tl 3.28-3.31



(4)
VASP calculation (PBE) on AcGa2Pd after structural relaxation.

## Properties
As for the distance to the lowest polymorph of the same formula: 8.7 kJ/mol of atoms. The calculation puts the raw total energy at -4.45 eV per atom. Its crystal system is orthorhombic. The formation energy is -59 kJ/mol of atoms.

Cell: 4.7124 6.0072 6.8314 Å, 90.00 90.00 113.09°
With the nearest neighbours (Å) after each atom.
Fractional positions:
Ac: 0.5701 0.1403 0.0000  7 Ga 3.16-3.27, 2 Pd 3.42
Ga: 0.4580 0.9160 0.5000  2 Pd 2.78, 4 Ga 2.89
Pd: 0.2869 0.5738 0.7983  4 Ga 2.70-2.86, 1 Pd 2.76
Ga: 0.0519 0.1037 0.6922  3 Ga 2.63-2.89, 1 Pd 2.70
Ga: 0.8645 0.7290 0.0000  4 Pd 2.86, 2 Ga 2.95
Pd: 0.2869 0.5738 0.2017  4 Ga 2.70-2.86, 1 Pd 2.76
Ac: 0.7586 0.5171 0.5000  4 Pd 3.13, 5 Ga 3.23-3.50
Ga: 0.0519 0.1037 0.3078  3 Ga 2.63-2.89, 1 Pd 2.70



(5)
VASP calculation (PBE) on SrLa2PuAs4 after structural relaxation.

## Properties
The calculation puts the raw total energy at -6.81 eV per atom. Its crystal system is monoclinic. The formation energy is -120 kJ/mol of atoms.

Cell: 4.3497 7.4741 7.5193 Å, 70.70 90.00 90.00°
With the nearest neighbours (Å) after each atom.
Fractional positions:
As: 0.0000 0.2516 0.2662  1 Pu 2.95, 3 La 3.03-3.17, 2 Sr 3.12
Sr: 0.5000 0.5000 0.0000  6 As 3.10-3.12
As: 0.0000 0.7484 0.7338  1 Pu 2.95, 3 La 3.03-3.17, 2 Sr 3.12
As: 0.5000 0.7404 0.2659  2 Pu 2.99, 3 La 3.02-3.15, 1 Sr 3.10
As: 0.5000 0.2596 0.7341  2 Pu 2.99, 3 La 3.02-3.15, 1 Sr 3.10
La: 0.5000 0.0000 0.5000  6 As 3.02-3.03
La: 0.0000 0.0000 0.0000  6 As 3.15-3.17
Pu: 0.0000 0.5000 0.5000  6 As 2.95-2.99



(6)
VASP calculation (PBE) on Ta2BN3 after structural relaxation.

## Properties
The calculation puts the raw total energy at -9.31 eV per atom. Its crystal system is hexagonal. The value obtained for the uncorrected formation energy is -0.08 eV/atom.

Cell: 5.4580 5.4580 2.8049 Å, 90.00 90.00 120.00°
With the nearest neighbours (Å) after each atom.
Fractional positions:
Ta: 0.6667 0.3333 0.5000  6 N 2.11
N: 0.5000 0.5000 0.0000  4 Ta 2.11
N: 0.0000 0.5000 0.0000  4 Ta 2.11
Ta: 0.3333 0.6667 0.5000  6 N 2.11
B: 0.0000 0.0000 0.0000  6 N 2.73, 2 B 2.80
N: 0.5000 0.0000 0.0000  4 Ta 2.11



(7)
VASP calculation (PBE) on InCuRe2 after structural relaxation.

## Properties
The calculation puts the raw total energy at -7.33 eV per atom. Its crystal system is trigonal. The formation energy is 58 kJ/mol of atoms.

Cell: 9.2148 9.2148 9.2148 Å, 17.69 17.69 17.69°
With the nearest neighbours (Å) after each atom.
Fractional positions:
Re: 0.5057 0.5057 0.5057  3 Cu 2.67, 6 Re 2.83, 3 In 2.92
Re: 0.9943 0.9943 0.9943  3 Cu 2.67, 6 Re 2.83, 3 In 2.92
In: 0.7500 0.7500 0.7500  6 In 2.83, 6 Re 2.92
Cu: 0.2500 0.2500 0.2500  6 Re 2.67, 6 Cu 2.83



(8)
VASP calculation (PBE) on Ca2PIr after structural relaxation.

## Properties
The calculation puts the raw total energy at -4.85 eV per atom. Its crystal system is tetragonal. The formation energy is -27 kJ/mol of atoms.

Cell: 4.7183 4.7183 4.7183 Å, 119.91 119.91 90.15°
With the nearest neighbours (Å) after each atom.
Fractional positions:
P: 0.7500 0.2500 0.5000  4 Ca 2.89, 4 Ir 2.89
Ca: 0.2500 0.7500 0.5000  4 Ca 2.89, 4 Ir 2.89
Ir: 0.5000 0.5000 0.0000  4 Ca 2.89, 4 P 2.89
Ca: 0.0000 0.0000 0.0000  4 P 2.89, 4 Ca 2.89



(9)
VASP calculation (PBE) on Zr2MnPt after structural relaxation.

## Properties
As for the distance to the lowest polymorph of the same formula: 16.7 kJ/mol of atoms. The calculation puts the raw total energy at -8.45 eV per atom. Its crystal system is cubic. The formation energy is -36 kJ/mol of atoms.

Cell: 4.6391 4.6391 4.6391 Å, 60.00 60.00 60.00°
With the nearest neighbours (Å) after each atom.
Fractional positions:
Zr: 0.0000 0.0000 0.0000  4 Pt 2.84, 4 Zr 2.84
Zr: 0.2500 0.2500 0.2500  4 Zr 2.84, 4 Mn 2.84
Mn: 0.5000 0.5000 0.5000  4 Zr 2.84, 4 Pt 2.84
Pt: 0.7500 0.7500 0.7500  4 Mn 2.84, 4 Zr 2.84



(10)
VASP calculation (PBE) on KRbPu2O8 after structural relaxation.

## Properties
The calculation puts the raw total energy at -7.76 eV per atom. Its crystal system is trigonal. The value obtained for the uncorrected formation energy is -1.90 eV/atom.

Cell: 6.1817 6.1817 6.9638 Å, 90.00 90.00 120.00°
With the nearest neighbours (Å) after each atom.
Fractional positions:
O: 0.6612 0.0648 0.8731  1 Pu 2.05
K: 0.0000 0.0000 0.0000  6 O 2.48
O: 0.4036 0.3388 0.8731  1 Pu 2.05
O: 0.0648 0.4036 0.1269  1 Pu 2.05
O: 0.3333 0.6667 0.6845  1 Pu 1.86
O: 0.5964 0.6612 0.1269  1 Pu 2.05
Pu: 0.6667 0.3333 0.0489  4 O 1.86-2.05
O: 0.9352 0.5964 0.8731  1 Pu 2.05
O: 0.3388 0.9352 0.1269  1 Pu 2.05
Rb: 0.0000 0.0000 0.5000  2 K 3.48, 12 O 3.48-3.79
O: 0.6667 0.3333 0.3155  1 Pu 1.86
Pu: 0.3333 0.6667 0.9511  4 O 1.86-2.05



(11)
VASP calculation (PBE) on Y3Ho2PuS6 after structural relaxation.

## Properties
The calculation puts the raw total energy at -7.61 eV per atom. Its crystal system is monoclinic. The value obtained for the uncorrected formation energy is -1.98 eV/atom.

Cell: 3.8967 7.8498 8.7489 Å, 102.97 102.87 90.00°
With the nearest neighbours (Å) after each atom.
Fractional positions:
Y: 0.5000 0.5000 0.0000  6 S 2.75-2.80
Y: 0.8350 0.1643 0.6700  6 S 2.75-2.80
S: 0.0005 0.2525 0.0010  1 Ho 2.71, 3 Y 2.75, 2 Pu 2.78
S: 0.6684 0.0867 0.3368  2 Ho 2.73, 3 Y 2.76-2.77, 1 Pu 2.80
S: 0.3316 0.9133 0.6632  2 Ho 2.73, 3 Y 2.76-2.77, 1 Pu 2.80
Ho: 0.8360 0.6715 0.6719  6 S 2.71-2.78
S: 0.9995 0.7475 0.9990  1 Ho 2.71, 3 Y 2.75, 2 Pu 2.78
Pu: 0.5000 0.0000 0.0000  6 S 2.78-2.80
S: 0.6685 0.5816 0.3371  3 Ho 2.77-2.78, 3 Y 2.80
Y: 0.1650 0.8357 0.3300  6 S 2.75-2.80
Ho: 0.1640 0.3285 0.3281  6 S 2.71-2.78
S: 0.3315 0.4184 0.6629  3 Ho 2.77-2.78, 3 Y 2.80



(12)
VASP calculation (PBE) on KSrAu2S after structural relaxation.

## Properties
The calculation puts the raw total energy at -2.11 eV per atom. Its crystal system is tetragonal. The value obtained for the uncorrected formation energy is 0.58 eV/atom.

Cell: 5.3182 7.5296 5.3182 Å, 90.00 90.00 90.00°
With the nearest neighbours (Å) after each atom.
Fractional positions:
Au: 0.5000 0.0000 0.0000  2 K 2.66
S: 0.5000 0.5000 0.5000  4 Sr 3.76
K: 0.0000 0.0000 0.0000  4 Au 2.66
Au: 0.0000 0.0000 0.5000  2 K 2.66
Sr: 0.0000 0.5000 0.0000  4 S 3.76, 2 K 3.76



Question: What is the formula in the first record?
Answer: TeOs2Pt



Question: Number 9 is which compound?
Answer: Zr2MnPt